Density functional theory data (meta-GGA SCAN) for Mn2InBiSb at its PBEsol-relaxed geometry.

Values from the calculation:
**Energy relative to the elements, uncorrected**: 547 meV/atom
**M_tot**: 8.421 μB/cell

Cell and atoms, written as POSCAR:
```
Mn2InBiSb
1.0
4.9544 0.0000 0.0000
0.0000 4.9544 0.0000
0.0000 0.0000 6.0141
Bi In Mn Sb
1 1 2 1
direct
0.0000 0.0000 0.5000 Bi
0.5000 0.5000 0.5000 In
0.0000 0.5000 0.0000 Mn
0.5000 0.0000 0.0000 Mn
0.0000 0.0000 0.0000 Sb
```